Crystalline NaTl4Sn5 at its relaxed geometry, computed with PBE.

abc: 6.412 8.204 11.689
angles: 90.00 90.00 90.00
Fractional positions:
1 Sn 0.750 0.681 0.723
2 Sn 0.500 0.000 0.802
3 Sn 0.750 0.319 0.723
4 Sn 0.250 0.681 0.723
5 Sn 0.000 0.500 0.198
6 Sn 0.750 0.819 0.277
7 Sn 0.250 0.819 0.277
8 Sn 0.250 0.319 0.723
9 Sn 0.750 0.181 0.277
10 Sn 0.250 0.181 0.277
11 Na 0.000 0.000 0.788
12 Na 0.500 0.500 0.212
13 Tl 0.000 0.218 0.011
14 Tl 0.500 0.718 0.989
15 Tl 0.750 0.000 0.532
16 Tl 0.500 0.282 0.989
17 Tl 0.250 0.000 0.532
18 Tl 0.000 0.782 0.011
19 Tl 0.250 0.500 0.468
20 Tl 0.750 0.500 0.468

Calculated values
E_form in meV per atom: 84
Calculated volume in Å³/atom: 30.743
Space group: Pmmn
Spin magnetization in μB per formula unit: 0.00